# K2B2PbO6 (PBE-GGA, relaxed)
# Energy relative to the elements, uncorrected: -1.8355 eV/atom
# Density: 3.982 Mg/m³
data_K2B2PbO6
_cell_length_a 5.3668
_cell_length_b 5.3668
_cell_length_c 6.7384
_cell_angle_alpha 90.00
_cell_angle_beta 90.00
_cell_angle_gamma 120.00
_symmetry_space_group_name_H-M 'P -3'
_symmetry_Int_Tables_number 147
loop_
_symmetry_equiv_pos_as_xyz
'x,y,z'
'-x,-y,-z'
'-y,x-y,z'
'y,-x+y,-z'
'-x+y,-x,z'
'x-y,x,-z'
loop_
_atom_site_label
_atom_site_type_symbol
_atom_site_fract_x
_atom_site_fract_y
_atom_site_fract_z
_atom_site_occupancy
K1 K 0.3333 0.6667 0.3637 1
B1 B 0.3333 0.6667 0.8247 1
Pb1 Pb 0.0000 0.0000 0.0000 1
O1 O 0.1195 0.3797 0.8089 1